Compound: SbPbF2
Source: the Alexandria database
Functional: PBEsol
Structure: relaxed

```
SbPbF2
1.0
3.220 0.000 0.000
-1.610 2.789 0.000
0.000 0.000 25.766
Sb Pb F
3 3 6
Cartesian
0.000 0.000 0.000
0.000 1.859 17.178
1.610 0.930 8.589
0.000 0.000 12.883
0.000 1.859 4.294
1.610 0.930 21.472
0.000 0.000 10.492
0.000 0.000 15.274
0.000 1.859 1.903
0.000 1.859 6.685
1.610 0.930 19.081
1.610 0.930 23.863
```

Energy relative to the elements, uncorrected   -1.23 eV per atom
Crystal system   trigonal
SG   R-3m, No. 166



Compound: SbTe2PbF
Source: the Alexandria database
Functional: PBEsol
Structure: relaxed

```
SbTe2PbF
1.0
5.711 0.000 0.000
0.000 5.711 0.000
0.000 0.000 5.772
Sb Te Pb F
1 2 1 1
Cartesian
0.000 0.000 0.000
0.000 2.855 2.886
2.855 0.000 2.886
0.000 0.000 2.886
2.855 2.855 0.000
```

Energy relative to the elements, uncorrected   0.67 eV per atom
Crystal system   tetragonal
SG   P4/mmm, No. 123



Compound: ScPbF3
Source: the Alexandria database
Functional: PBEsol
Structure: relaxed

```
ScPbF3
1.0
4.261 0.000 0.000
0.000 4.261 0.000
0.000 0.000 4.261
Sc Pb F
1 1 3
Cartesian
0.000 0.000 0.000
2.131 2.131 2.131
0.000 0.000 2.131
0.000 2.131 0.000
2.131 0.000 0.000
```

Energy relative to the elements, uncorrected   -2.51 eV per atom
Crystal system   cubic
SG   Pm-3m, No. 221



Compound: SiPb2F
Source: the Alexandria database
Functional: PBEsol
Structure: relaxed

```
SiPb2F
1.0
6.870 0.000 0.000
0.000 6.870 0.000
0.000 0.000 6.870
Si Pb F
4 8 4
Cartesian
0.000 0.000 0.000
0.000 3.435 3.435
3.435 0.000 3.435
3.435 3.435 0.000
1.717 1.717 1.717
1.717 1.717 5.152
1.717 5.152 1.717
1.717 5.152 5.152
5.152 1.717 1.717
5.152 1.717 5.152
5.152 5.152 1.717
5.152 5.152 5.152
0.000 0.000 3.435
0.000 3.435 0.000
3.435 0.000 0.000
3.435 3.435 3.435
```

Energy relative to the elements, uncorrected   -0.50 eV per atom
Crystal system   cubic
SG   Fm-3m, No. 225



Compound: SiPbF2
Source: the Alexandria database
Functional: PBEsol
Structure: relaxed

```
SiPbF2
1.0
6.324 0.000 0.000
0.000 6.324 0.000
0.000 0.000 6.324
Si Pb F
4 4 8
Cartesian
0.000 0.000 0.000
0.000 3.162 3.162
3.162 0.000 3.162
3.162 3.162 0.000
0.000 0.000 3.162
0.000 3.162 0.000
3.162 0.000 0.000
3.162 3.162 3.162
1.581 1.581 1.581
1.581 1.581 4.743
1.581 4.743 1.581
1.581 4.743 4.743
4.743 1.581 1.581
4.743 1.581 4.743
4.743 4.743 1.581
4.743 4.743 4.743
```

Energy relative to the elements, uncorrected   -0.80 eV per atom
Crystal system   cubic
SG   Fm-3m, No. 225



Compound: TcSnPb2F
Source: the Alexandria database
Functional: PBEsol
Structure: relaxed

```
TcSnPb2F
1.0
5.734 0.000 0.000
0.000 5.734 0.000
0.000 0.000 5.116
Tc Sn Pb F
1 1 2 1
Cartesian
0.000 0.000 0.000
0.000 0.000 2.558
0.000 2.867 2.558
2.867 0.000 2.558
2.867 2.867 0.000
```

Energy relative to the elements, uncorrected   0.97 eV per atom
Crystal system   tetragonal
SG   P4/mmm, No. 123



Compound: TePb3F
Source: the Alexandria database
Functional: PBEsol
Structure: relaxed

```
TePb3F
1.0
5.951 0.000 0.000
0.000 5.951 0.000
0.000 0.000 5.951
Te Pb F
1 3 1
Cartesian
0.000 0.000 0.000
0.000 0.000 2.975
0.000 2.975 0.000
2.975 0.000 0.000
2.975 2.975 2.975
```

Energy relative to the elements, uncorrected   0.29 eV per atom
Crystal system   cubic
SG   Pm-3m, No. 221



Compound: Te3PbF
Source: the Alexandria database
Functional: PBEsol
Structure: relaxed

```
Te3PbF
1.0
5.753 0.000 0.000
0.000 5.753 0.000
0.000 0.000 5.753
Te Pb F
3 1 1
Cartesian
0.000 0.000 2.876
0.000 2.876 0.000
2.876 0.000 0.000
0.000 0.000 0.000
2.876 2.876 2.876
```

Energy relative to the elements, uncorrected   0.62 eV per atom
Crystal system   cubic
SG   Pm-3m, No. 221



Compound: TePbF6
Source: the Alexandria database
Functional: PBEsol
Structure: relaxed

```
TePbF6
1.0
4.602 0.000 0.000
0.000 12.698 0.000
-1.681 0.000 8.123
Te Pb F
4 4 24
Cartesian
-0.476 2.867 3.767
-1.317 3.482 7.829
4.238 9.216 0.294
3.397 9.831 4.356
0.452 6.414 5.684
1.293 12.632 1.623
1.628 0.065 6.500
2.468 6.284 2.439
-0.967 8.484 7.011
-0.126 10.562 2.950
0.583 7.857 1.355
-0.258 11.190 5.416
-0.542 0.465 7.436
0.298 5.884 3.375
0.916 2.406 1.386
0.075 3.943 5.447
0.464 8.685 4.549
1.305 10.361 0.487
0.646 1.306 4.291
1.487 5.043 0.229
1.434 7.655 7.894
2.275 11.392 3.832
1.616 2.336 7.636
2.457 4.013 3.574
2.846 8.755 2.676
2.005 10.292 6.737
2.623 6.814 4.749
3.463 12.233 0.687
3.179 1.508 2.707
2.338 4.841 6.768
3.047 2.136 5.173
3.888 4.213 1.112
```

Energy relative to the elements, uncorrected   -2.25 eV per atom
Crystal system   monoclinic
SG   P2_1/c, No. 14



Compound: Ti3PbF
Source: the Alexandria database
Functional: PBEsol
Structure: relaxed

```
Ti3PbF
1.0
4.258 0.000 0.000
0.000 4.258 0.000
0.000 0.000 4.258
Ti Pb F
3 1 1
Cartesian
0.000 0.000 2.129
0.000 2.129 0.000
2.129 0.000 0.000
2.129 2.129 2.129
0.000 0.000 0.000
```

Energy relative to the elements, uncorrected   -0.58 eV per atom
Crystal system   cubic
SG   Pm-3m, No. 221



Compound: Ti3Pb5F19
Source: the Alexandria database
Functional: PBEsol
Structure: relaxed

```
Ti3Pb5F19
1.0
-7.227 7.227 3.862
7.227 -7.227 3.862
7.227 7.227 -3.862
Ti Pb F
6 10 38
Cartesian
0.000 0.000 0.000
4.891 -2.336 1.555
9.563 2.336 1.555
0.000 0.000 3.862
2.336 4.891 1.555
-2.336 9.563 1.555
7.227 0.000 0.375
11.165 -1.002 1.159
3.289 1.002 1.159
-1.002 3.289 1.159
6.225 3.938 1.159
0.000 7.227 0.375
3.289 -1.002 5.021
3.938 8.229 1.159
1.002 3.289 5.021
1.002 11.165 1.159
8.914 -1.686 1.214
12.679 0.808 0.070
5.760 -3.723 2.706
9.936 0.841 0.290
5.760 3.723 -1.156
0.808 1.775 0.070
8.068 2.709 0.290
6.168 -1.059 2.305
3.504 -1.467 2.706
0.000 0.000 1.940
5.541 1.686 1.214
0.841 4.518 0.290
8.286 1.059 2.305
3.623 3.604 0.982
3.623 -3.604 4.843
8.035 5.452 0.070
3.723 8.694 -1.156
5.452 6.419 0.070
2.709 6.386 0.290
-1.686 5.541 1.214
1.775 0.808 3.932
1.467 3.504 2.706
4.518 0.841 4.151
8.694 3.723 2.706
-0.808 1.775 3.932
1.059 6.168 2.305
6.386 2.709 4.151
3.723 5.760 2.706
0.000 0.000 5.801
1.686 8.914 1.214
-0.841 4.518 4.151
-1.059 8.286 2.305
3.604 10.831 0.982
3.604 3.623 4.843
6.419 5.452 3.932
-3.723 8.694 2.706
-5.452 6.419 3.932
-2.709 6.386 4.151
```

Energy relative to the elements, uncorrected   -2.77 eV per atom
Crystal system   tetragonal
SG   I4cm, No. 108



Compound: TlPbF3
Source: the Alexandria database
Functional: PBEsol
Structure: relaxed

```
TlPbF3
1.0
4.750 0.000 0.000
0.000 4.750 0.000
0.000 0.000 4.750
Tl Pb F
1 1 3
Cartesian
0.000 0.000 0.000
2.375 2.375 2.375
0.000 2.375 2.375
2.375 0.000 2.375
2.375 2.375 0.000
```

Energy relative to the elements, uncorrected   -1.97 eV per atom
Crystal system   cubic
SG   Pm-3m, No. 221



Among the records above, which one has the lowest energy relative to the elements, uncorrected? Ti3Pb5F19



Among the records above, which one has the highest energy relative to the elements, uncorrected? TcSnPb2F



Repeat the seventh record exactly.
Compound: TePb3F
Source: the Alexandria database
Functional: PBEsol
Structure: relaxed

```
TePb3F
1.0
5.951 0.000 0.000
0.000 5.951 0.000
0.000 0.000 5.951
Te Pb F
1 3 1
Cartesian
0.000 0.000 0.000
0.000 0.000 2.975
0.000 2.975 0.000
2.975 0.000 0.000
2.975 2.975 2.975
```

Energy relative to the elements, uncorrected   0.29 eV per atom
Crystal system   cubic
SG   Pm-3m, No. 221